VASP calculation (PBE-GGA) on a relaxed structure of LiNdU2S5.

Cell: 7.6750 7.0482 7.0482 Å, 90.00 90.00 90.00°
Sites, in units of the cell vectors:
U (0.5000, 0.6231, 0.1231)
S (0.7604, 0.6951, 0.8049)
S (0.2396, 0.1951, 0.6951)
U (0.5000, 0.3769, 0.8769)
S (0.2396, 0.8049, 0.3049)
S (0.2396, 0.3049, 0.1951)
S (0.2396, 0.6951, 0.8049)
S (0.5000, 0.5000, 0.5000)
Li (0.0000, 0.0000, 0.0000)
U (0.5000, 0.1231, 0.3769)
Nd (0.0000, 0.5000, 0.0000)
Li (0.0000, 0.5000, 0.5000)
S (0.5000, 0.0000, 0.0000)
S (0.7604, 0.8049, 0.3049)
U (0.5000, 0.8769, 0.6231)
S (0.7604, 0.1951, 0.6951)
Nd (0.0000, 0.0000, 0.5000)
S (0.7604, 0.3049, 0.1951)

- VASP energy: -0.497 Ry/atom
- DOS at the Fermi energy: 7.5 states/eV/cell
- Magnetic moment: 0.00 μB per cell

=====

VASP calculation (PBE-GGA) on a relaxed structure of AcNbSi2Os.

Cell: 4.2001 4.2001 6.3710 Å, 109.25 109.25 90.00°
Sites, in units of the cell vectors:
Nb (0.7500, 0.2500, 0.5000)
Si (0.3791, 0.3791, 0.7582)
Ac (0.0000, 0.0000, 0.0000)
Si (0.6209, 0.6209, 0.2418)
Os (0.2500, 0.7500, 0.5000)

- VASP energy: -0.570 Ry/atom
- DOS at the Fermi energy: 3.4 states/eV/cell
- Magnetic moment: 0.00 μB per cell

=====

VASP calculation (PBE-GGA) on a relaxed structure of CsCl4F.

Cell: 5.8910 5.9021 16.3273 Å, 98.27 92.27 120.24°
Sites, in units of the cell vectors:
F (0.4160, 0.6659, 0.7494)
F (0.5840, 0.3342, 0.2506)
Cl (0.9923, 0.1763, 0.4405)
Cl (0.7645, 0.4506, 0.9400)
Cl (0.5999, 0.5566, 0.8485)
Cl (0.0077, 0.8237, 0.5595)
Cl (0.7943, 0.2499, 0.3493)
Cs (0.9126, 0.1632, 0.7498)
Cl (0.4001, 0.4434, 0.1515)
Cs (0.0874, 0.8368, 0.2502)
Cl (0.2355, 0.5494, 0.0600)
Cl (0.2057, 0.7501, 0.6507)

- VASP energy: -0.191 Ry/atom
- DOS at the Fermi energy: 0.0 states/eV/cell
- Magnetic moment: 0.00 μB per cell

=====

VASP calculation (PBE-GGA) on a relaxed structure of Rb2NaPO4.

Cell: 5.3841 6.3166 11.1594 Å, 84.10 76.04 64.77°
Sites, in units of the cell vectors:
O (0.3717, 0.8380, 0.0819)
O (0.4584, 0.3380, 0.5819)
O (0.2916, 0.1620, 0.9181)
Na (0.0000, 0.0000, 0.0000)
P (0.5000, 0.0000, 0.0000)
O (0.9597, 0.6620, 0.5819)
P (0.2500, 0.5000, 0.5000)
Rb (0.8210, 0.0000, 0.3580)
O (0.7903, 0.8380, 0.9181)
Rb (0.1790, 0.0000, 0.6420)
Rb (0.9290, 0.5000, 0.1420)
Na (0.7500, 0.5000, 0.5000)
O (0.5464, 0.1620, 0.0819)
Rb (0.5710, 0.5000, 0.8580)
O (0.3783, 0.6620, 0.4181)
O (0.2036, 0.3380, 0.4181)

- VASP energy: -0.410 Ry/atom
- DOS at the Fermi energy: 0.0 states/eV/cell
- Magnetic moment: 0.28 μB per cell